(1)
# PmGeAsPd PBE relaxed
# Total moment: 0.00 μB/cell
# Formation energy: -0.483 eV/atom
data_PmGeAsPd
_cell_length_a 6.8599
_cell_length_b 6.8599
_cell_length_c 6.8599
_cell_angle_alpha 90.00
_cell_angle_beta 90.00
_cell_angle_gamma 90.00
_space_group_name_H-M_alt 'F -4 3 m'
_space_group_IT_number 216
_space_group_name_Hall 'F -4 2 3'
loop_
_atom_site_label
_atom_site_fract_x
_atom_site_fract_y
_atom_site_fract_z
Pm1 0.0000 0.0000 0.0000
Ge1 0.2500 0.2500 0.2500
As1 0.2500 0.2500 0.7500
Pd1 0.0000 0.0000 0.5000


(2)
# LiCu2Pd4 PBE relaxed
# Total moment: 0.00 μB/cell
# Formation energy: -0.006 eV/atom
# E above lowest polymorph: 91 meV per atom
data_LiCu2Pd4
_cell_length_a 5.2269
_cell_length_b 6.7351
_cell_length_c 6.7466
_cell_angle_alpha 77.35
_cell_angle_beta 70.97
_cell_angle_gamma 70.84
_space_group_name_H-M_alt 'P 1'
_space_group_IT_number 1
_space_group_name_Hall 'P 1'
loop_
_atom_site_label
_atom_site_fract_x
_atom_site_fract_y
_atom_site_fract_z
Li1 0.0000 0.0000 0.0000
Li2 0.4709 0.0246 0.0219
Cu1 0.1868 0.1064 0.5862
Cu2 0.1870 0.5851 0.1042
Cu3 0.2844 0.5170 0.5174
Cu4 0.8044 0.5027 0.5037
Pd1 0.0334 0.2407 0.2420
Pd2 0.4849 0.7657 0.7643
Pd3 0.5335 0.2477 0.2469
Pd4 0.6320 0.6505 0.1682
Pd5 0.6334 0.1674 0.6496
Pd6 0.9004 0.8617 0.3780
Pd7 0.9015 0.3792 0.8630
Pd8 0.9725 0.7784 0.7781


(3)
# Co5Ge6Pt PBE relaxed
# Total moment: 0.63 μB/cell
# Formation energy: -0.038 eV/atom
data_Co5Ge6Pt
_cell_length_a 4.9923
_cell_length_b 8.6798
_cell_length_c 7.6186
_cell_angle_alpha 90.00
_cell_angle_beta 102.67
_cell_angle_gamma 90.00
_space_group_name_H-M_alt 'C 1 2/m 1'
_space_group_IT_number 12
_space_group_name_Hall '-C 2y'
loop_
_atom_site_label
_atom_site_fract_x
_atom_site_fract_y
_atom_site_fract_z
Co1 0.0000 0.0000 0.0000
Co2 0.0000 0.1673 0.5000
Co3 0.0000 0.3411 0.0000
Ge1 0.2343 0.0000 0.7548
Ge2 0.2389 0.1747 0.2405
Pt1 0.0000 0.5000 0.5000


(4)
# RbTl2Hg9 PBE relaxed
# Total moment: 0.00 μB/cell
# Formation energy: -0.071 eV/atom
data_RbTl2Hg9
_cell_length_a 6.6562
_cell_length_b 6.6759
_cell_length_c 8.8753
_cell_angle_alpha 84.19
_cell_angle_beta 85.08
_cell_angle_gamma 74.60
_space_group_name_H-M_alt 'P -1'
_space_group_IT_number 2
_space_group_name_Hall '-P 1'
loop_
_atom_site_label
_atom_site_fract_x
_atom_site_fract_y
_atom_site_fract_z
Rb1 0.0000 0.0000 0.0000
Tl1 0.2376 0.5350 0.3354
Hg1 0.2451 0.0390 0.3482
Hg2 0.2598 0.7462 0.6603
Hg3 0.2625 0.4652 0.9748
Hg4 0.2765 0.2417 0.6618
Hg5 0.5000 0.0000 0.0000


What did the first record say?
# PmGeAsPd PBE relaxed
# Total moment: 0.00 μB/cell
# Formation energy: -0.483 eV/atom
data_PmGeAsPd
_cell_length_a 6.8599
_cell_length_b 6.8599
_cell_length_c 6.8599
_cell_angle_alpha 90.00
_cell_angle_beta 90.00
_cell_angle_gamma 90.00
_space_group_name_H-M_alt 'F -4 3 m'
_space_group_IT_number 216
_space_group_name_Hall 'F -4 2 3'
loop_
_atom_site_label
_atom_site_fract_x
_atom_site_fract_y
_atom_site_fract_z
Pm1 0.0000 0.0000 0.0000
Ge1 0.2500 0.2500 0.2500
As1 0.2500 0.2500 0.7500
Pd1 0.0000 0.0000 0.5000


Please write out number 1 again, unchanged.
# PmGeAsPd PBE relaxed
# Total moment: 0.00 μB/cell
# Formation energy: -0.483 eV/atom
data_PmGeAsPd
_cell_length_a 6.8599
_cell_length_b 6.8599
_cell_length_c 6.8599
_cell_angle_alpha 90.00
_cell_angle_beta 90.00
_cell_angle_gamma 90.00
_space_group_name_H-M_alt 'F -4 3 m'
_space_group_IT_number 216
_space_group_name_Hall 'F -4 2 3'
loop_
_atom_site_label
_atom_site_fract_x
_atom_site_fract_y
_atom_site_fract_z
Pm1 0.0000 0.0000 0.0000
Ge1 0.2500 0.2500 0.2500
As1 0.2500 0.2500 0.7500
Pd1 0.0000 0.0000 0.5000